1:
Computed, not measured: a relaxed ScIrRh4 crystal at the PBE-GGA level of DFT.

Properties
The theoretical density comes out at 11.46 Mg/m³.

a = 8.8357 Å, b = 5.2878 Å, c = 5.2878 Å
α = 117.63°, β = 64.02°, γ = 115.98°
Sites, in units of the cell vectors:
Sc  0.5000  0.7500  0.7500
Sc  0.0000  0.5000  0.5000
Ir  0.0000  0.0000  0.0000
Ir  0.5000  0.2500  0.2500
Rh  0.3061  0.3963  0.1034
Rh  0.6939  0.5905  0.9098
Rh  0.1939  0.3402  0.6595
Rh  0.1939  0.8537  0.1466
Rh  0.8061  0.1466  0.8537
Rh  0.3061  0.9098  0.5905
Rh  0.8061  0.6595  0.3402
Rh  0.6939  0.1034  0.3963



2:
Computed, not measured: a relaxed ScIrRh4 crystal at the PBE-GGA level of DFT.

Properties
The theoretical density comes out at 11.38 Mg/m³.

a = 5.1158 Å, b = 5.1158 Å, c = 5.1158 Å
α = 60.00°, β = 60.00°, γ = 60.00°
Sites, in units of the cell vectors:
Sc  0.7500  0.7500  0.7500
Ir  0.0000  0.0000  0.0000
Rh  0.8766  0.3745  0.3745
Rh  0.3745  0.3745  0.8766
Rh  0.3745  0.8766  0.3745
Rh  0.3745  0.3745  0.3745



Name the least stable of them. 2.



1:
Computed, not measured: a relaxed ScIr2Rh2 crystal at the PBE-GGA level of DFT.

Properties
The theoretical density comes out at 12.93 Mg/m³.

a = 6.7785 Å, b = 6.7785 Å, c = 3.5511 Å
α = 90.00°, β = 90.00°, γ = 90.00°
Sites, in units of the cell vectors:
Sc  0.0000  0.0000  0.0000
Sc  0.5000  0.5000  0.0000
Ir  0.3689  0.8689  0.0000
Ir  0.8689  0.6311  0.0000
Ir  0.6311  0.1311  0.0000
Ir  0.1311  0.3689  0.0000
Rh  0.1680  0.6680  0.5000
Rh  0.6680  0.8320  0.5000
Rh  0.8320  0.3320  0.5000
Rh  0.3320  0.1680  0.5000



2:
Computed, not measured: a relaxed ScIr2Rh2 crystal at the PBE-GGA level of DFT.

Properties
The theoretical density comes out at 12.83 Mg/m³.

a = 4.4138 Å, b = 4.4138 Å, c = 9.7492 Å
α = 90.00°, β = 90.00°, γ = 120.00°
Sites, in units of the cell vectors:
Sc  0.0000  0.0000  0.2500
Sc  0.0000  0.0000  0.7500
Ir  0.6667  0.3333  0.7500
Ir  0.0000  0.0000  0.0000
Ir  0.0000  0.0000  0.5000
Ir  0.3333  0.6667  0.2500
Rh  0.3333  0.6667  0.5669
Rh  0.6667  0.3333  0.0669
Rh  0.6667  0.3333  0.4331
Rh  0.3333  0.6667  0.9331



Name the least stable of them. 2.



1:
Computed, not measured: a relaxed IrRhSe4 crystal at the PBE-GGA level of DFT.

Properties
The theoretical density comes out at 6.91 Mg/m³.

a = 4.8675 Å, b = 4.8675 Å, c = 7.0858 Å
α = 110.09°, β = 110.09°, γ = 90.00°
Sites, in units of the cell vectors:
Ir  0.7500  0.2500  0.5000
Rh  0.5000  0.5000  0.0000
Se  0.5492  0.0492  0.0983
Se  0.6991  0.6991  0.3983
Se  0.9508  0.4508  0.9017
Se  0.3009  0.3009  0.6017



2:
Computed, not measured: a relaxed IrRhSe4 crystal at the PBE-GGA level of DFT.

Properties
The theoretical density comes out at 8.99 Mg/m³.

a = 5.4235 Å, b = 5.4235 Å, c = 5.4235 Å
α = 60.00°, β = 60.00°, γ = 60.00°
Sites, in units of the cell vectors:
Ir  0.7500  0.7500  0.7500
Rh  0.0000  0.0000  0.0000
Se  0.8753  0.3749  0.3749
Se  0.3749  0.3749  0.8753
Se  0.3749  0.8753  0.3749
Se  0.3749  0.3749  0.3749



3:
Computed, not measured: a relaxed IrRhSe4 crystal at the PBE-GGA level of DFT.

Properties
The theoretical density comes out at 7.96 Mg/m³.

a = 6.9193 Å, b = 6.9193 Å, c = 6.9193 Å
α = 108.86°, β = 108.86°, γ = 110.69°
Sites, in units of the cell vectors:
Ir  0.2484  0.2484  0.0000
Ir  0.9984  0.4984  0.5000
Rh  0.7517  0.7517  0.0000
Rh  0.5017  0.0017  0.5000
Se  0.2497  0.9414  0.6917
Se  0.7502  0.4425  0.6923
Se  0.6914  0.4997  0.1917
Se  0.1925  0.0002  0.1923
Se  0.3079  0.4997  0.8083
Se  0.8080  0.0002  0.8077
Se  0.7502  0.0580  0.3077
Se  0.2497  0.5579  0.3083



Name the least stable of them. 2.



1:
Computed, not measured: a relaxed Ir3RhSe crystal at the PBE-GGA level of DFT.

Properties
The theoretical density comes out at 13.42 Mg/m³.

a = 4.5449 Å, b = 4.5449 Å, c = 4.5449 Å
α = 90.00°, β = 90.00°, γ = 90.00°
Sites, in units of the cell vectors:
Ir  0.0000  0.5000  0.0000
Ir  0.0000  0.0000  0.5000
Ir  0.5000  0.0000  0.0000
Rh  0.5000  0.5000  0.5000
Se  0.0000  0.0000  0.0000



2:
Computed, not measured: a relaxed Ir3RhSe crystal at the PBE-GGA level of DFT.

Properties
The theoretical density comes out at 11.95 Mg/m³.

a = 4.7232 Å, b = 4.7232 Å, c = 4.7232 Å
α = 90.00°, β = 90.00°, γ = 90.00°
Sites, in units of the cell vectors:
Ir  0.0000  0.5000  0.0000
Ir  0.0000  0.0000  0.5000
Ir  0.5000  0.0000  0.0000
Rh  0.0000  0.0000  0.0000
Se  0.5000  0.5000  0.5000



Name the least stable of them. 2.